Mg2AlPtO6 | PBE-GGA | optimized geometry

extended XYZ file:
```
10
Lattice="3.9281 0.0000 0.0000 0.0000 5.4836 0.0000 0.0000 0.0000 5.4836" Properties=species:S:1:pos:R:3 pbc="T T T"
O 2.8547 1.3317 4.1520
O 2.8547 1.3317 1.3317
O 2.8547 4.1520 4.1520
Al 2.5261 0.0000 0.0000
O 2.8547 4.1520 1.3317
Mg 3.6373 0.0000 2.7418
Mg 3.6373 2.7418 0.0000
O 0.7012 0.0000 0.0000
Pt 2.6711 2.7418 2.7418
O 0.7315 2.7418 2.7418
```

Values from the calculation:
D(E_F) (states/eV/f.u.): 4.9
Energy relative to the elements, uncorrected (eV/atom): -1.56
SG: P4mm (99)
DFT total energy (eV per atom): -5.8328
Mass density (g/cm³): 5.15